First-principles (GGA-PBE) data for a relaxed structure of MgZn2P, as listed in Alexandria.

CIF file:
```
data_MgZn2P
_cell_length_a 6.508
_cell_length_b 6.508
_cell_length_c 6.508
_cell_angle_alpha 90.00
_cell_angle_beta 90.00
_cell_angle_gamma 90.00
_space_group_name_H-M_alt 'F m -3 m'
_space_group_IT_number 225
_space_group_name_Hall '-F 4 2 3'
loop_
_atom_site_label
_atom_site_type_symbol
_atom_site_fract_x
_atom_site_fract_y
_atom_site_fract_z
_atom_site_occupancy
Mg1 Mg 0.000 0.000 0.000 1
Zn1 Zn 0.250 0.250 0.250 1
P1 P 0.000 0.000 0.500 1
```

Summary:
VASP energy, eV per atom: -2.210
M_tot, Bohr magnetons per cell: 0.00
Energy relative to the elements, meV per atom: 178

***

First-principles (GGA-PBE) data for a relaxed structure of Lu2TaTe, as listed in Alexandria.

CIF file:
```
data_Lu2TaTe
_cell_length_a 3.5758
_cell_length_b 3.5758
_cell_length_c 27.4301
_cell_angle_alpha 90.00
_cell_angle_beta 90.00
_cell_angle_gamma 120.00
_space_group_name_H-M_alt 'R -3 m'
_space_group_IT_number 166
_space_group_name_Hall '-R 3 2"'
loop_
_atom_site_label
_atom_site_type_symbol
_atom_site_fract_x
_atom_site_fract_y
_atom_site_fract_z
_atom_site_occupancy
Lu1 Lu 0.0000 0.0000 0.2475 1
Ta1 Ta 0.0000 0.0000 0.0000 1
Te1 Te 0.0000 0.0000 0.5000 1
```

Summary:
VASP energy, eV per atom: -6.124
M_tot, Bohr magnetons per cell: 0.00
ΔE_f (raw), eV/f.u.: -0.46

***

Copy entry 1 word for word.
First-principles (GGA-PBE) data for a relaxed structure of MgZn2P, as listed in Alexandria.

CIF file:
```
data_MgZn2P
_cell_length_a 6.508
_cell_length_b 6.508
_cell_length_c 6.508
_cell_angle_alpha 90.00
_cell_angle_beta 90.00
_cell_angle_gamma 90.00
_space_group_name_H-M_alt 'F m -3 m'
_space_group_IT_number 225
_space_group_name_Hall '-F 4 2 3'
loop_
_atom_site_label
_atom_site_type_symbol
_atom_site_fract_x
_atom_site_fract_y
_atom_site_fract_z
_atom_site_occupancy
Mg1 Mg 0.000 0.000 0.000 1
Zn1 Zn 0.250 0.250 0.250 1
P1 P 0.000 0.000 0.500 1
```

Summary:
VASP energy, eV per atom: -2.210
M_tot, Bohr magnetons per cell: 0.00
Energy relative to the elements, meV per atom: 178

***

VASP energy of number 2 (Lu2TaTe)?
-6.124 eV per atom

***

Number 2 is which compound?
Lu2TaTe